Here is Pm2Ni4Sb3Rh after structural relaxation from Alexandria. Energies are from PBE.

a = 4.249 Å, b = 4.249 Å, c = 10.466 Å
α = 90.00°, β = 90.00°, γ = 90.00°
Element x y z (fractional)
Pm  0.500  0.000  0.255
Pm  0.000  0.500  0.745
Ni  0.500  0.500  0.000
Ni  0.000  0.000  0.000
Ni  0.500  0.000  0.633
Ni  0.000  0.500  0.367
Sb  0.000  0.000  0.500
Sb  0.500  0.000  0.870
Sb  0.000  0.500  0.130
Rh  0.500  0.500  0.500

Output
* raw formation energy: -0.58 eV per atom
* space-group type: No. 115
* calculated density: 8.73 g/cm³

Here is PmNiSbRh after structural relaxation from Alexandria. Energies are from PBE.

a = 4.735 Å, b = 4.735 Å, c = 4.735 Å
α = 60.00°, β = 60.00°, γ = 60.00°
Element x y z (fractional)
Ni  0.750  0.750  0.750
Sb  0.000  0.000  0.000
Rh  0.250  0.250  0.250
Pm  0.500  0.500  0.500

Output
* raw formation energy: -0.50 eV per atom
* space-group type: No. 216
* calculated density: 9.47 g/cm³

Here is PmSi3NiRh after structural relaxation from Alexandria. Energies are from PBE.

a = 5.715 Å, b = 6.096 Å, c = 7.023 Å
α = 115.72°, β = 90.00°, γ = 90.00°
Element x y z (fractional)
Pm  0.750  0.212  0.424
Pm  0.250  0.788  0.576
Si  0.250  0.212  0.425
Si  0.000  0.284  0.000
Si  0.500  0.716  0.000
Si  0.500  0.284  0.000
Si  0.000  0.716  0.000
Si  0.750  0.788  0.575
Ni  0.250  0.043  0.085
Ni  0.750  0.957  0.915
Rh  0.250  0.390  0.780
Rh  0.750  0.610  0.220

Output
* raw formation energy: -0.51 eV per atom
* space-group type: No. 63
* calculated density: 5.89 g/cm³

Here is PmSiNiRh after structural relaxation from Alexandria. Energies are from PBE.

a = 4.186 Å, b = 3.620 Å, c = 4.999 Å
α = 111.23°, β = 90.00°, γ = 90.00°
Element x y z (fractional)
Pm  0.500  0.226  0.453
Si  0.000  0.588  0.176
Ni  0.500  0.499  0.997
Rh  0.000  0.915  0.830

Output
* raw formation energy: -0.53 eV per atom
* space-group type: No. 38
* calculated density: 7.87 g/cm³